# 1
Density functional theory data (PBE) for a geometry-optimized Ho8Cu2Pt structure.

Cell and atoms, written as CIF:
```
data_Ho8Cu2Pt
_chemical_formula_sum 'Ho16 Cu4 Pt2'
_cell_length_a 17.316
_cell_length_b 5.042
_cell_length_c 6.641
_cell_angle_alpha 90.00
_cell_angle_beta 104.63
_cell_angle_gamma 90.00
_space_group_name_H-M_alt 'C 1 2/m 1'
_space_group_IT_number 12
loop_
_space_group_symop_operation_xyz
'x,y,z'
'-x,-y,-z'
'-x,y,-z'
'x,-y,z'
'x+1/2,y+1/2,z'
'-x+1/2,-y+1/2,-z'
'-x+1/2,y+1/2,-z'
'x+1/2,-y+1/2,z'
loop_
_atom_site_label
_atom_site_fract_x
_atom_site_fract_y
_atom_site_fract_z
_atom_site_occupancy
Ho1 0.033 0.000 0.284 1
Ho2 0.090 0.500 0.945 1
Ho3 0.167 0.500 0.478 1
Ho4 0.203 0.000 0.834 1
Cu1 0.187 0.000 0.234 1
Pt1 0.000 0.500 0.500 1
```

Summary:
The formation energy from the elements comes out at -320 meV per atom. The energy relative to the lowest polymorph listed for this composition comes out at 0 meV/atom.

# 2
Density functional theory data (PBE) for a geometry-optimized BaNa2Ca2 structure.

Cell and atoms, written as CIF:
```
data_BaNa2Ca2
_chemical_formula_sum 'Ba4 Na8 Ca8'
_cell_length_a 32.033
_cell_length_b 6.358
_cell_length_c 4.389
_cell_angle_alpha 90.00
_cell_angle_beta 90.05
_cell_angle_gamma 90.00
_space_group_name_H-M_alt 'C 1 2/m 1'
_space_group_IT_number 12
loop_
_space_group_symop_operation_xyz
'x,y,z'
'-x,-y,-z'
'-x,y,-z'
'x,-y,z'
'x+1/2,y+1/2,z'
'-x+1/2,-y+1/2,-z'
'-x+1/2,y+1/2,-z'
'x+1/2,-y+1/2,z'
loop_
_atom_site_label
_atom_site_fract_x
_atom_site_fract_y
_atom_site_fract_z
_atom_site_occupancy
Ba1 0.153 0.000 0.252 1
Na1 0.144 0.500 0.751 1
Na2 0.238 0.500 0.247 1
Ca1 0.046 0.000 0.751 1
Ca2 0.050 0.500 0.251 1
```

Summary:
The formation energy from the elements comes out at 36 meV per atom. The energy relative to the lowest polymorph listed for this composition comes out at 0 meV/atom.

# 3
Density functional theory data (PBE) for a geometry-optimized ErZn2Cd2Au2 structure.

Cell and atoms, written as CIF:
```
data_ErZn2Cd2Au2
_chemical_formula_sum 'Er3 Zn6 Cd6 Au6'
_cell_length_a 4.5759
_cell_length_b 4.5759
_cell_length_c 23.4599
_cell_angle_alpha 90.00
_cell_angle_beta 90.00
_cell_angle_gamma 120.00
_space_group_name_H-M_alt 'R -3 m'
_space_group_IT_number 166
_space_group_name_Hall '-R 3 2"'
loop_
_atom_site_label
_atom_site_fract_x
_atom_site_fract_y
_atom_site_fract_z
_atom_site_occupancy
Er1 0.0000 0.0000 0.0000 1
Zn1 0.0000 0.0000 0.4010 1
Cd1 0.0000 0.0000 0.1354 1
Au1 0.0000 0.0000 0.2626 1
```

Summary:
The formation energy from the elements comes out at -397 meV per atom.

# 4
Density functional theory data (PBE) for a geometry-optimized Na3CrBr structure.

Cell and atoms, written as CIF:
```
data_Na3CrBr
_chemical_formula_sum 'Na3 Cr1 Br1'
_cell_length_a 5.604
_cell_length_b 5.604
_cell_length_c 5.604
_cell_angle_alpha 90.00
_cell_angle_beta 90.00
_cell_angle_gamma 90.00
_space_group_name_H-M_alt 'P m -3 m'
_space_group_IT_number 221
_space_group_name_Hall '-P 4 2 3'
loop_
_atom_site_label
_atom_site_fract_x
_atom_site_fract_y
_atom_site_fract_z
_atom_site_occupancy
Na1 0.000 0.000 0.500 1
Cr1 0.500 0.500 0.500 1
Br1 0.000 0.000 0.000 1
```

Summary:
For the formation energy (no corrections), the calculation gives 0.31 eV/f.u. The energy relative to the lowest polymorph listed for this composition comes out at 0 meV/atom.

# 5
Density functional theory data (PBE) for a geometry-optimized TaZn2I structure.

Cell and atoms, written as CIF:
```
data_TaZn2I
_chemical_formula_sum 'Ta4 Zn8 I4'
_cell_length_a 6.925
_cell_length_b 6.925
_cell_length_c 6.925
_cell_angle_alpha 90.00
_cell_angle_beta 90.00
_cell_angle_gamma 90.00
_space_group_name_H-M_alt 'F m -3 m'
_space_group_IT_number 225
_space_group_name_Hall '-F 4 2 3'
loop_
_atom_site_label
_atom_site_fract_x
_atom_site_fract_y
_atom_site_fract_z
_atom_site_occupancy
Ta1 0.000 0.000 0.000 1
Zn1 0.250 0.250 0.250 1
I1 0.000 0.000 0.500 1
```

Summary:
For the formation energy (no corrections), the calculation gives 4.34 eV/f.u. The energy relative to the lowest polymorph listed for this composition comes out at 273 meV/atom.

# 6
Density functional theory data (PBE) for a geometry-optimized Al2HgBr structure.

Cell and atoms, written as CIF:
```
data_Al2HgBr
_chemical_formula_sum 'Al4 Hg2 Br2'
_cell_length_a 4.657
_cell_length_b 4.657
_cell_length_c 8.882
_cell_angle_alpha 90.00
_cell_angle_beta 90.00
_cell_angle_gamma 90.00
_space_group_name_H-M_alt 'I 4/m m m'
_space_group_IT_number 139
_space_group_name_Hall '-I 4 2'
loop_
_atom_site_label
_atom_site_fract_x
_atom_site_fract_y
_atom_site_fract_z
_atom_site_occupancy
Al1 0.000 0.500 0.250 1
Hg1 0.000 0.000 0.000 1
Br1 0.000 0.000 0.500 1
```

Summary:
For the formation energy (no corrections), the calculation gives 0.82 eV/f.u. The energy relative to the lowest polymorph listed for this composition comes out at 211 meV/atom.

# 7
Density functional theory data (PBE) for a geometry-optimized TlZnCd2Sn structure.

Cell and atoms, written as CIF:
```
data_TlZnCd2Sn
_chemical_formula_sum 'Tl1 Zn1 Cd2 Sn1'
_cell_length_a 5.122
_cell_length_b 5.122
_cell_length_c 5.403
_cell_angle_alpha 90.00
_cell_angle_beta 90.00
_cell_angle_gamma 90.00
_space_group_name_H-M_alt 'P 4/m m m'
_space_group_IT_number 123
_space_group_name_Hall '-P 4 2'
loop_
_atom_site_label
_atom_site_fract_x
_atom_site_fract_y
_atom_site_fract_z
_atom_site_occupancy
Tl1 0.000 0.000 0.000 1
Zn1 0.500 0.500 0.500 1
Cd1 0.000 0.500 0.500 1
Sn1 0.500 0.500 0.000 1
```

Summary:
The formation energy from the elements comes out at 226 meV per atom.

# 8
Density functional theory data (PBE) for a geometry-optimized Nd2HoTm structure.

Cell and atoms, written as CIF:
```
data_Nd2HoTm
_chemical_formula_sum 'Nd2 Ho1 Tm1'
_cell_length_a 3.608
_cell_length_b 3.608
_cell_length_c 10.075
_cell_angle_alpha 90.00
_cell_angle_beta 90.00
_cell_angle_gamma 90.00
_space_group_name_H-M_alt 'P 4/m m m'
_space_group_IT_number 123
_space_group_name_Hall '-P 4 2'
loop_
_atom_site_label
_atom_site_fract_x
_atom_site_fract_y
_atom_site_fract_z
_atom_site_occupancy
Nd1 0.000 0.000 0.249 1
Ho1 0.500 0.500 0.500 1
Tm1 0.500 0.500 0.000 1
```

Summary:
The formation energy from the elements comes out at 22 meV per atom. The energy relative to the lowest polymorph listed for this composition comes out at 7 meV/atom.